[1]
# PBE TaNiGePtAu, relaxed
data_TaNiGePtAu
_cell_length_a 9.5504
_cell_length_b 2.9768
_cell_length_c 6.7574
_cell_angle_alpha 90.00
_cell_angle_beta 126.18
_cell_angle_gamma 90.00
_symmetry_space_group_name_H-M 'C 1 m 1'
_symmetry_Int_Tables_number 8
loop_
_symmetry_equiv_pos_as_xyz
'x,y,z'
'x,-y,z'
'x+1/2,y+1/2,z'
'x+1/2,-y+1/2,z'
loop_
_atom_site_label
_atom_site_type_symbol
_atom_site_fract_x
_atom_site_fract_y
_atom_site_fract_z
_atom_site_occupancy
Ta1 Ta 0.0000 0.0000 0.0000 1
Ni1 Ni 0.3912 0.0000 0.6186 1
Ge1 Ge 0.1407 0.5000 0.4433 1
Pt1 Pt 0.1877 0.0000 0.7912 1
Au1 Au 0.3214 0.5000 0.2280 1
# Density of states at the Fermi level = 4.284 states/eV/cell
# E above lowest polymorph = 0.089 eV/f.u.
# Calculated volume = 78 Å³/f.u.
# Theoretical density = 15.08 g cm⁻³
# VASP energy = -6.5281 eV/atom
# Energy of formation from the pure elements = -0.2142 eV per atom


[2]
# PBE AcIn2GaPd2, relaxed
data_AcIn2GaPd2
_cell_length_a 5.2103
_cell_length_b 5.2103
_cell_length_c 11.3912
_cell_angle_alpha 90.00
_cell_angle_beta 90.00
_cell_angle_gamma 90.00
_symmetry_space_group_name_H-M 'I 4/m m m'
_symmetry_Int_Tables_number 139
_symmetry_space_group_name_Hall '-I 4 2'
loop_
_atom_site_label
_atom_site_type_symbol
_atom_site_fract_x
_atom_site_fract_y
_atom_site_fract_z
_atom_site_occupancy
Ac1 Ac 0.0000 0.0000 0.0000 1
In1 In 0.0000 0.5000 0.2500 1
Ga1 Ga 0.0000 0.0000 0.5000 1
Pd1 Pd 0.0000 0.0000 0.2907 1
# Density of states at the Fermi level = 6.949 states/eV/cell
# Calculated volume = 155 Å³/f.u.
# Theoretical density = 7.94 g cm⁻³
# VASP energy = -4.2663 eV/atom
# Energy of formation from the pure elements = -0.4333 eV per atom


[3]
# PBE Al2TlHg, relaxed
data_Al2TlHg
_cell_length_a 4.2978
_cell_length_b 4.6424
_cell_length_c 9.1312
_cell_angle_alpha 90.00
_cell_angle_beta 90.00
_cell_angle_gamma 90.00
_symmetry_space_group_name_H-M 'C m m 2'
_symmetry_Int_Tables_number 35
loop_
_symmetry_equiv_pos_as_xyz
'x,y,z'
'-x,-y,z'
'-x,y,z'
'x,-y,z'
'x+1/2,y+1/2,z'
'-x+1/2,-y+1/2,z'
'-x+1/2,y+1/2,z'
'x+1/2,-y+1/2,z'
loop_
_atom_site_label
_atom_site_type_symbol
_atom_site_fract_x
_atom_site_fract_y
_atom_site_fract_z
_atom_site_occupancy
Al1 Al 0.0000 0.0000 0.0000 1
Al2 Al 0.0000 0.5000 0.1901 1
Tl1 Tl 0.0000 0.0000 0.4641 1
Hg1 Hg 0.0000 0.5000 0.7684 1
# Density of states at the Fermi level = 3.580 states/eV/cell
# Calculated volume = 91 Å³/f.u.
# Theoretical density = 8.37 g cm⁻³
# VASP energy = -2.3725 eV/atom
# Energy of formation from the pure elements = 0.1658 eV per atom


[4]
# PBE LaCdB, relaxed
data_LaCdB
_cell_length_a 3.8726
_cell_length_b 4.4604
_cell_length_c 7.7434
_cell_angle_alpha 97.85
_cell_angle_beta 98.15
_cell_angle_gamma 96.85
_symmetry_space_group_name_H-M 'P -1'
_symmetry_Int_Tables_number 2
loop_
_symmetry_equiv_pos_as_xyz
'x,y,z'
'-x,-y,-z'
loop_
_atom_site_label
_atom_site_type_symbol
_atom_site_fract_x
_atom_site_fract_y
_atom_site_fract_z
_atom_site_occupancy
La1 La 0.0031 0.2779 0.3265 1
Cd1 Cd 0.3811 0.7490 0.0983 1
B1 B 0.4595 0.8544 0.4222 1
# Density of states at the Fermi level = 3.424 states/eV/cell
# E above lowest polymorph = 0.683 eV/f.u.
# Calculated volume = 65 Å³/f.u.
# Theoretical density = 6.70 g cm⁻³
# VASP energy = -4.2947 eV/atom
# Energy of formation from the pure elements = -0.1214 eV per atom


[5]
# PBE Dy5Ge2C, relaxed
data_Dy5Ge2C
_cell_length_a 5.5786
_cell_length_b 12.0334
_cell_length_c 13.0301
_cell_angle_alpha 90.00
_cell_angle_beta 90.00
_cell_angle_gamma 90.00
_symmetry_space_group_name_H-M 'C m c m'
_symmetry_Int_Tables_number 63
_symmetry_space_group_name_Hall '-C 2c 2'
loop_
_atom_site_label
_atom_site_type_symbol
_atom_site_fract_x
_atom_site_fract_y
_atom_site_fract_z
_atom_site_occupancy
Dy1 Dy 0.0000 0.0562 0.1241 1
Dy2 Dy 0.0000 0.3001 0.7500 1
Dy3 Dy 0.0000 0.3380 0.1081 1
Ge1 Ge 0.0000 0.1752 0.5668 1
C1 C 0.0000 0.2018 0.2500 1
# Density of states at the Fermi level = 22.326 states/eV/cell
# Calculated volume = 219 Å³/f.u.
# Theoretical density = 7.36 g cm⁻³
# VASP energy = -5.4900 eV/atom
# Energy of formation from the pure elements = -0.3063 eV per atom


[6]
# PBE Nb2Co17, relaxed
data_Nb2Co17
_cell_length_a 8.0835
_cell_length_b 8.0835
_cell_length_c 11.9157
_cell_angle_alpha 90.00
_cell_angle_beta 90.00
_cell_angle_gamma 120.00
_symmetry_space_group_name_H-M 'R -3 m'
_symmetry_Int_Tables_number 166
_symmetry_space_group_name_Hall '-R 3 2"'
loop_
_atom_site_label
_atom_site_type_symbol
_atom_site_fract_x
_atom_site_fract_y
_atom_site_fract_z
_atom_site_occupancy
Nb1 Nb 0.0000 0.0000 0.1666 1
Co1 Co 0.0000 0.0000 0.3984 1
Co2 Co 0.0000 0.2966 0.5000 1
Co3 Co 0.0000 0.5000 0.0000 1
Co4 Co 0.0056 0.5028 0.6485 1
# Density of states at the Fermi level = 59.277 states/eV/cell
# Calculated volume = 225 Å³/f.u.
# Theoretical density = 8.77 g cm⁻³
# VASP energy = -7.3747 eV/atom
# Energy of formation from the pure elements = 0.0432 eV per atom


[7]
# PBE VCoNiIr, relaxed
data_VCoNiIr
_cell_length_a 3.5973
_cell_length_b 3.6726
_cell_length_c 3.7013
_cell_angle_alpha 90.00
_cell_angle_beta 90.00
_cell_angle_gamma 90.00
_symmetry_space_group_name_H-M 'P m m m'
_symmetry_Int_Tables_number 47
loop_
_symmetry_equiv_pos_as_xyz
'x,y,z'
'-x,-y,-z'
'-x,-y,z'
'x,y,-z'
'x,-y,-z'
'-x,y,z'
'-x,y,-z'
'x,-y,z'
loop_
_atom_site_label
_atom_site_type_symbol
_atom_site_fract_x
_atom_site_fract_y
_atom_site_fract_z
_atom_site_occupancy
V1 V 0.0000 0.0000 0.0000 1
Co1 Co 0.5000 0.0000 0.5000 1
Ni1 Ni 0.0000 0.5000 0.5000 1
Ir1 Ir 0.5000 0.5000 0.0000 1
# Density of states at the Fermi level = 2.144 states/eV/cell
# E above lowest polymorph = 0.000 eV/f.u.
# Calculated volume = 49 Å³/f.u.
# Theoretical density = 12.25 g cm⁻³
# VASP energy = -8.0183 eV/atom
# Energy of formation from the pure elements = -0.3016 eV per atom


[8]
# PBE ThMg3In, relaxed
data_ThMg3In
_cell_length_a 5.1483
_cell_length_b 28.8080
_cell_length_c 3.5614
_cell_angle_alpha 90.00
_cell_angle_beta 90.00
_cell_angle_gamma 90.00
_symmetry_space_group_name_H-M 'C m m m'
_symmetry_Int_Tables_number 65
_symmetry_space_group_name_Hall '-C 2 2'
loop_
_atom_site_label
_atom_site_type_symbol
_atom_site_fract_x
_atom_site_fract_y
_atom_site_fract_z
_atom_site_occupancy
Th1 Th 0.0000 0.1682 0.0000 1
Mg1 Mg 0.0000 0.0587 0.5000 1
Mg2 Mg 0.0000 0.2720 0.5000 1
Mg3 Mg 0.0000 0.4513 0.0000 1
In1 In 0.0000 0.3720 0.5000 1
# Density of states at the Fermi level = 14.745 states/eV/cell
# Calculated volume = 132 Å³/f.u.
# Theoretical density = 5.28 g cm⁻³
# VASP energy = -2.9864 eV/atom
# Energy of formation from the pure elements = 0.0020 eV per atom


[9]
# PBE KTl4Hg8, relaxed
data_KTl4Hg8
_cell_length_a 10.4502
_cell_length_b 10.4502
_cell_length_c 7.2990
_cell_angle_alpha 90.00
_cell_angle_beta 90.00
_cell_angle_gamma 90.00
_symmetry_space_group_name_H-M 'I 4/m m m'
_symmetry_Int_Tables_number 139
_symmetry_space_group_name_Hall '-I 4 2'
loop_
_atom_site_label
_atom_site_type_symbol
_atom_site_fract_x
_atom_site_fract_y
_atom_site_fract_z
_atom_site_occupancy
K1 K 0.0000 0.0000 0.0000 1
Tl1 Tl 0.2500 0.2500 0.2500 1
Hg1 Hg 0.0000 0.2123 0.5000 1
Hg2 Hg 0.0000 0.3514 0.0000 1
# Density of states at the Fermi level = 12.936 states/eV/cell
# Calculated volume = 399 Å³/f.u.
# Theoretical density = 10.26 g cm⁻³
# VASP energy = -1.0323 eV/atom
# Energy of formation from the pure elements = -0.0341 eV per atom


[10]
# PBE AcDyPuTl, relaxed
data_AcDyPuTl
_cell_length_a 7.9214
_cell_length_b 7.9214
_cell_length_c 7.9214
_cell_angle_alpha 90.00
_cell_angle_beta 90.00
_cell_angle_gamma 90.00
_symmetry_space_group_name_H-M 'F -4 3 m'
_symmetry_Int_Tables_number 216
_symmetry_space_group_name_Hall 'F -4 2 3'
loop_
_atom_site_label
_atom_site_type_symbol
_atom_site_fract_x
_atom_site_fract_y
_atom_site_fract_z
_atom_site_occupancy
Ac1 Ac 0.0000 0.0000 0.0000 1
Dy1 Dy 0.2500 0.2500 0.7500 1
Pu1 Pu 0.2500 0.2500 0.2500 1
Tl1 Tl 0.0000 0.0000 0.5000 1
# Density of states at the Fermi level = 50.117 states/eV/cell
# Calculated volume = 124 Å³/f.u.
# Theoretical density = 11.20 g cm⁻³
# VASP energy = -6.1958 eV/atom
# Energy of formation from the pure elements = 0.1564 eV per atom


[11]
# PBE MgTl2Cu2I6, relaxed
data_MgTl2Cu2I6
_cell_length_a 14.2344
_cell_length_b 8.1725
_cell_length_c 8.5329
_cell_angle_alpha 90.00
_cell_angle_beta 121.59
_cell_angle_gamma 90.00
_symmetry_space_group_name_H-M 'C 1 2/m 1'
_symmetry_Int_Tables_number 12
loop_
_symmetry_equiv_pos_as_xyz
'x,y,z'
'-x,-y,-z'
'-x,y,-z'
'x,-y,z'
'x+1/2,y+1/2,z'
'-x+1/2,-y+1/2,-z'
'-x+1/2,y+1/2,-z'
'x+1/2,-y+1/2,z'
loop_
_atom_site_label
_atom_site_type_symbol
_atom_site_fract_x
_atom_site_fract_y
_atom_site_fract_z
_atom_site_occupancy
Mg1 Mg 0.0000 0.0000 0.0000 1
Tl1 Tl 0.2334 0.0000 0.7051 1
Cu1 Cu 0.0559 0.5000 0.7761 1
I1 I 0.0586 0.2426 0.2892 1
I2 I 0.2428 0.0000 0.1224 1
# Density of states at the Fermi level = 0.000 states/eV/cell
# Calculated volume = 423 Å³/f.u.
# Theoretical density = 5.19 g cm⁻³
# VASP energy = -2.6655 eV/atom
# Uncorrected formation energy = -0.500 eV per atom


[12]
# PBE NaBeBRh2, relaxed
data_NaBeBRh2
_cell_length_a 4.4715
_cell_length_b 4.4715
_cell_length_c 3.8106
_cell_angle_alpha 90.00
_cell_angle_beta 90.00
_cell_angle_gamma 90.00
_symmetry_space_group_name_H-M 'P 4/m m m'
_symmetry_Int_Tables_number 123
_symmetry_space_group_name_Hall '-P 4 2'
loop_
_atom_site_label
_atom_site_type_symbol
_atom_site_fract_x
_atom_site_fract_y
_atom_site_fract_z
_atom_site_occupancy
Na1 Na 0.0000 0.0000 0.0000 1
Be1 Be 0.0000 0.0000 0.5000 1
B1 B 0.5000 0.5000 0.5000 1
Rh1 Rh 0.0000 0.5000 0.0000 1
# Density of states at the Fermi level = 0.654 states/eV/cell
# Calculated volume = 76 Å³/f.u.
# Theoretical density = 5.42 g cm⁻³
# VASP energy = -2.9943 eV/atom
# Energy of formation from the pure elements = 2.2908 eV per atom